1.
Entry from the Alexandria database: crystalline PmEuPaPb at its relaxed geometry (PBE).

The structure belongs to space group F-43m (No. 216); the cell edges are 7.7626, 7.7626 and 7.7626 Å and the angles 90.00°, 90.00° and 90.00°. The asymmetric unit holds Pm at (0.0000, 0.0000, 0.0000), Eu at (0.0000, 0.0000, 0.5000), Pa at (0.2500, 0.2500, 0.2500) and Pb at (0.2500, 0.2500, 0.7500).

The total energy comes out at -109.335 eV for the cell shown.

2.
Entry from the Alexandria database: crystalline EuPaPd at its relaxed geometry (PBE).

The structure belongs to space group I4mm (No. 107); the cell edges are 3.6521, 3.6521 and 11.5464 Å and the angles 90.00°, 90.00° and 90.00°. The asymmetric unit holds Eu at (0.0000, 0.0000, 0.0000), Pa at (0.0000, 0.0000, 0.2956) and Pd at (0.0000, 0.0000, 0.6863).

The total energy comes out at -50.829 eV for the cell shown.

3.
Entry from the Alexandria database: crystalline EuPaPd2 at its relaxed geometry (PBE).

The structure belongs to space group P4/mmm (No. 123); the cell edges are 3.5832, 3.5832 and 7.3402 Å and the angles 90.00°, 90.00° and 90.00°. The asymmetric unit holds Eu at (0.0000, 0.0000, 0.0000), Pa at (0.0000, 0.0000, 0.5000) and Pd at (0.5000, 0.5000, 0.2950).

The total energy comes out at -32.280 eV for the cell shown.